Entry 1:
Entry from the Alexandria database: an optimized crystal structure of FeMoRh2 (GGA-PBEsol).

Cell: 2.691 2.691 7.375 Å, 90.00 90.00 90.00°
Space group P4/mmm (No. 123)
Symmetry-distinct sites (fractional):
Fe1 0.000 0.000 0.000 [1 per cell]
Mo1 0.000 0.000 0.500 [1 per cell]
Rh1 0.500 0.500 0.241 [2 per cell]

***

Entry 2:
Entry from the Alexandria database: an optimized crystal structure of BaTa4Pb (GGA-PBEsol).

Cell: 8.103 8.103 8.103 Å, 90.00 90.00 90.00°
Space group F-43m (No. 216)
Symmetry-distinct sites (fractional):
Ba1 0.000 0.000 0.000 [4 per cell]
Ta1 0.127 0.127 0.373 [16 per cell]
Pb1 0.250 0.250 0.750 [4 per cell]

***

Entry 3:
Entry from the Alexandria database: an optimized crystal structure of Cs3BeOs (GGA-PBEsol).

Cell: 5.915 5.915 5.915 Å, 90.00 90.00 90.00°
Space group Pm-3m (No. 221)
Symmetry-distinct sites (fractional):
Cs1 0.000 0.000 0.500 [3 per cell]
Be1 0.500 0.500 0.500 [1 per cell]
Os1 0.000 0.000 0.000 [1 per cell]

***

Entry 4:
Entry from the Alexandria database: an optimized crystal structure of SrTa2Pt (GGA-PBEsol).

Cell: 2.976 5.351 10.220 Å, 90.00 90.00 90.00°
Space group Imm2 (No. 44)
Symmetry-distinct sites (fractional):
Sr1 0.000 0.000 0.000 [2 per cell]
Ta1 0.000 0.000 0.518 [2 per cell]
Ta2 0.000 0.500 0.794 [2 per cell]
Pt1 0.000 0.500 0.232 [2 per cell]

***

It is found that the formation energy values, taken in the order of the records, are -0.35, 4.56, 8.08, 1.83 eV/f.u..